# Li4Ti3Cr3Sn2O16

A geometry-optimized Li4Ti3Cr3Sn2O16 structure (GGA+U, Alexandria).

Calculated values
For the total energy, the calculation gives -0.2687 Ha/atom.

a b c (Å): 10.3751 5.9749 9.8238
angles (deg): 90.00 90.07 90.00
With the nearest neighbours (Å) after each atom.
Space group Cm (No. 8)
Inequivalent atoms, fractional coordinates:
Li 0.0000 0.0000 0.0000 x2  4 O 1.81-2.00
Li 0.9996 0.0000 0.4990 x2  4 O 1.82-1.98
Li 0.1637 0.5000 0.0965 x2  4 O 1.99-2.05
Li 0.3325 0.0000 0.5926 x2  4 O 2.01-2.04
Ti 0.0839 0.2565 0.7775 x4  6 O 1.99-2.07
Ti 0.1692 0.0000 0.2768 x2  6 O 1.95-2.02
Cr 0.3290 0.5000 0.7792 x2  6 O 1.99-2.06
Cr 0.4139 0.2462 0.2780 x4  6 O 1.99-2.07
Sn 0.1692 0.5000 0.4988 x2  6 O 2.06-2.17
Sn 0.3344 0.0000 0.0033 x2  6 O 2.09-2.17
O 0.0016 0.0000 0.1842 x2  1 Li 1.81, 1 Ti 1.96, 2 Cr 1.99
O 0.0181 0.5000 0.6512 x2  1 Li 2.01, 2 Ti 2.03, 1 Sn 2.17
O 0.0828 0.2391 0.3903 x4  1 Li 1.98, 1 Ti 2.02, 1 Cr 2.07, 1 Sn 2.09
O 0.1630 0.0000 0.8917 x2  1 Li 2.00, 2 Ti 2.07, 1 Sn 2.09
O 0.1635 0.5000 0.8874 x2  2 Ti 1.99, 1 Cr 2.02, 1 Li 2.05
O 0.2379 0.2740 0.6564 x4  1 Ti 2.00, 1 Li 2.01, 1 Cr 2.04, 1 Sn 2.17
O 0.2547 0.2228 0.1553 x4  1 Li 1.99, 1 Ti 2.00, 1 Cr 2.05, 1 Sn 2.17
O 0.3269 0.0000 0.3851 x2  1 Ti 1.95, 2 Cr 2.02, 1 Li 2.04
O 0.3415 0.5000 0.3942 x2  1 Li 1.94, 2 Cr 2.04, 1 Sn 2.06
O 0.4210 0.2582 0.8926 x4  1 Li 1.97, 1 Ti 2.04, 1 Cr 2.06, 1 Sn 2.09
O 0.4805 0.0000 0.1549 x2  1 Li 1.99, 2 Cr 2.03, 1 Sn 2.12
O 0.4980 0.5000 0.6846 x2  1 Li 1.82, 1 Cr 1.99, 2 Ti 1.99